No. 1
5
Lattice="-1.827 1.898 3.707 -4.038 -1.797 -1.070 1.023 -3.737 2.417" Properties=species:S:1:pos:R:3 comment="Co2NiAuC PBEsol optimized geometry" sg="No. 123" formation_enthalpy_0k_ev_per_atom=2.84 e_tot_ev_per_atom=-4.196 pbc="T T T"
Ni 0.511 -1.869 1.209
C -2.421 -1.818 2.527
Au 0.000 0.000 0.000
Co -2.019 -0.899 -0.535
Co -0.913 0.949 1.854

***

No. 2
5
Lattice="3.678 0.000 0.000 0.000 3.678 0.000 0.000 0.000 4.188" Properties=species:S:1:pos:R:3 comment="Co2AuCO PBEsol optimized geometry" sg="No. 123" e_form_raw_ev_per_atom=0.7335 e_tot_ev_per_atom=-6.125 pbc="T T T"
Co 0.000 1.839 0.000
Co 1.839 0.000 0.000
C 0.000 0.000 0.000
Au 0.000 0.000 2.094
O 1.839 1.839 2.094

***

No. 3
5
Lattice="-2.171 -2.944 0.320 2.409 -1.526 2.313 -2.105 4.055 1.952" Properties=species:S:1:pos:R:3 comment="Cr2AuC2 PBEsol optimized geometry" sg="No. 139" formation_enthalpy_0k_ev_per_atom=0.43 e_tot_ev_per_atom=-8.314 pbc="T T T"
Cr 0.212 0.147 2.791
Cr -2.079 -0.562 1.794
C -1.252 1.147 2.060
C -0.616 -1.562 2.525
Au 0.000 0.000 0.000

***

No. 4
8
Lattice="-3.570 -2.854 -0.782 0.539 -1.832 4.226 -1.301 5.404 -0.035" Properties=species:S:1:pos:R:3 comment="CrAuC2 PBEsol optimized geometry" sg="No. 122" formation_enthalpy_0k_ev_per_atom=1.01 e_tot_ev_per_atom=-7.352 pbc="T T T"
Cr -3.193 0.104 0.452
Cr -1.516 -2.343 1.722
C -1.386 -1.476 3.353
C -3.054 -1.679 0.934
C -1.325 3.369 0.632
C -2.899 1.224 1.897
Au -1.139 0.615 2.956
Au 0.000 0.000 0.000